PBE-GGA BaTl2Se, relaxed; uncorrected formation energy = -314 meV per atom; SG = No. 166; calculated density = 7.02 Mg/m³
1.0
9.268 0.003 0.002
8.233 4.255 0.002
8.233 2.003 3.754
Tl Ba Se
2 1 1
Direct
0.481 0.481 0.481
0.019 0.019 0.019
0.250 0.250 0.250
0.750 0.750 0.750